## 1
The following is a meta-GGA SCAN calculation of a PBEsol-optimized structure of ZrTc2Ag, from Alexandria via LeMat-Bulk.

Results
As for the calculated volume: 16.19 Å³/atom.

Lattice parameters (Å, degrees): 2.7944 2.7944 9.7138 81.73 81.73 60.00
With the nearest neighbours (Å) after each atom.
Element x y z (fractional)
Zr (0.4978, 0.4978, 0.5066)  6 Zr 2.79, 3 Tc 3.03, 3 Ag 3.05
Tc (0.0057, 0.0057, 0.9828)  9 Tc 2.56-2.79
Tc (0.7418, 0.7418, 0.7747)  9 Tc 2.56-2.79
Ag (0.2547, 0.2547, 0.2360)  6 Ag 2.79, 3 Tc 2.91, 3 Zr 3.05

=====

## 2
The following is a meta-GGA SCAN calculation of a PBEsol-optimized structure of ZrTc2Ag, from Alexandria via LeMat-Bulk.

Results
As for the calculated volume: 16.23 Å³/atom.

Lattice parameters (Å, degrees): 3.7409 4.3421 4.9178 116.20 112.35 90.00
With the nearest neighbours (Å) after each atom.
Element x y z (fractional)
Zr (0.4876, 0.4876, 0.9753)  8 Tc 2.76-2.93, 4 Ag 2.85
Ag (0.2566, 0.7566, 0.5132)  8 Tc 2.83-2.87, 4 Zr 2.85
Tc (0.0225, 0.0225, 0.0450)  2 Tc 2.52
Tc (0.7332, 0.2332, 0.4664)  2 Tc 2.52, 2 Zr 2.76

=====

2 is favored, and the nearest alternative lies 98 meV/atom above it.

=====

## 1
The following is a meta-GGA SCAN calculation of a PBEsol-optimized structure of ZrTcAg, from Alexandria via LeMat-Bulk.

Results
As for the calculated volume: 16.86 Å³/atom.

Lattice parameters (Å, degrees): 2.6475 4.6963 4.6963 120.00 90.00 90.00
With the nearest neighbours (Å) after each atom.
Element x y z (fractional)
Ag (0.0083, 0.0000, 0.0000)  2 Ag 2.65, 3 Zr 2.85, 3 Tc 2.87
Tc (0.6521, 0.6667, 0.3333)  2 Tc 2.65, 3 Zr 2.83, 3 Ag 2.87
Zr (0.3397, 0.3333, 0.6667)  2 Zr 2.65, 3 Tc 2.83, 3 Ag 2.85

=====

## 2
The following is a meta-GGA SCAN calculation of a PBEsol-optimized structure of ZrTcAg, from Alexandria via LeMat-Bulk.

Results
As for the calculated volume: 20.12 Å³/atom.

Lattice parameters (Å, degrees): 4.4031 4.4031 4.4031 60.00 60.00 60.00
With the nearest neighbours (Å) after each atom.
Element x y z (fractional)
Tc (0.2500, 0.2500, 0.2500)  4 Zr 2.70, 4 Ag 2.70
Ag (0.5000, 0.5000, 0.5000)  4 Tc 2.70
Zr (0.0000, 0.0000, 0.0000)  4 Tc 2.70

=====

1 is favored, and the nearest alternative lies 572 meV/atom above it.

=====

## 1
The following is a meta-GGA SCAN calculation of a PBEsol-optimized structure of ZrTcAg2, from Alexandria via LeMat-Bulk.

Results
As for the calculated volume: 16.70 Å³/atom.

Lattice parameters (Å, degrees): 2.7947 2.7947 10.0050 81.97 81.97 60.00
With the nearest neighbours (Å) after each atom.
Element x y z (fractional)
Ag (0.7541, 0.7541, 0.7378)  6 Ag 2.79, 3 Tc 2.85, 3 Zr 3.05
Ag (0.2459, 0.2459, 0.2622)  6 Ag 2.79, 3 Tc 2.85, 3 Zr 3.05
Zr (0.0000, 0.0000, 0.0000)  6 Zr 2.79, 6 Ag 3.05
Tc (0.5000, 0.5000, 0.5000)  6 Tc 2.79, 6 Ag 2.85

=====

## 2
The following is a meta-GGA SCAN calculation of a PBEsol-optimized structure of ZrTcAg2, from Alexandria via LeMat-Bulk.

Results
As for the calculated volume: 16.61 Å³/atom.

Lattice parameters (Å, degrees): 3.5965 4.0727 4.5348 90.00 90.00 90.00
With the nearest neighbours (Å) after each atom.
Element x y z (fractional)
Zr (0.0000, 0.5000, 0.5000)  4 Tc 2.72, 4 Ag 2.89
Tc (0.5000, 0.0000, 0.5000)  4 Zr 2.72, 4 Ag 2.89
Ag (0.5000, 0.5000, 0.0000)  4 Ag 2.72, 4 Zr 2.89
Ag (0.0000, 0.0000, 0.0000)  4 Ag 2.72, 4 Tc 2.89

=====

2 is favored, and the nearest alternative lies 323 meV/atom above it.

=====

## 1
The following is a meta-GGA SCAN calculation of a PBEsol-optimized structure of TlAg2Te, from Alexandria via LeMat-Bulk.

Results
As for the calculated volume: 22.82 Å³/atom.

Lattice parameters (Å, degrees): 3.0717 4.0207 7.3915 90.00 90.00 90.00
With the nearest neighbours (Å) after each atom.
Element x y z (fractional)
Ag (0.0000, 0.0000, 0.0393)  6 Ag 2.87-3.07, 1 Te 3.03, 4 Tl 3.13
Ag (0.5000, 0.5000, 0.2224)  6 Ag 2.87-3.07, 4 Te 3.03, 1 Tl 3.20
Te (0.0000, 0.0000, 0.4488)  5 Ag 3.03, 2 Te 3.07
Tl (0.5000, 0.5000, 0.7894)  2 Tl 3.07, 5 Ag 3.13-3.20

=====

## 2
The following is a meta-GGA SCAN calculation of a PBEsol-optimized structure of TlAg2Te, from Alexandria via LeMat-Bulk.

Results
As for the calculated volume: 22.59 Å³/atom.

Lattice parameters (Å, degrees): 3.2942 3.2942 9.8004 80.32 80.32 60.00
With the nearest neighbours (Å) after each atom.
Element x y z (fractional)
Ag (0.0073, 0.0073, 0.9782)  3 Ag 2.77, 3 Tl 3.02
Ag (0.7440, 0.7440, 0.7680)  3 Ag 2.77, 3 Te 2.97
Te (0.4895, 0.4895, 0.5314)  3 Ag 2.97, 6 Te 3.29
Tl (0.2592, 0.2592, 0.2224)  3 Ag 3.02, 6 Tl 3.29

=====

1 is favored, and the nearest alternative lies 48 meV/atom above it.